[1]
An optimized crystal structure of Tl2BiPtPb, computed with PBE-GGA.

Calculated values
The calculation puts the formation energy at 0.05 eV/atom. Its crystal system is tetragonal.

a b c (Å): 5.3221 5.3221 5.5646
angles (deg): 90.00 90.00 90.00
Space group P4/mmm (No. 123)
Asymmetric unit:
Tl1 0.0000 0.5000 0.0000 (multiplicity 2)
Bi1 0.0000 0.0000 0.5000 (multiplicity 1)
Pt1 0.5000 0.5000 0.0000 (multiplicity 1)
Pb1 0.5000 0.5000 0.5000 (multiplicity 1)


[2]
An optimized crystal structure of PuPbI2, computed with PBE-GGA.

Calculated values
The energy is -5.8446 eV per atom. Its crystal system is trigonal.

a b c (Å): 3.9387 3.9387 33.1970
angles (deg): 90.00 90.00 120.00
Space group R-3m (No. 166, hexagonal axes)
Asymmetric unit:
Pu1 0.0000 0.0000 0.0000 (multiplicity 3)
Pb1 0.0000 0.0000 0.5000 (multiplicity 3)
I1 0.0000 0.0000 0.3992 (multiplicity 6)


[3]
An optimized crystal structure of Tb2US5, computed with PBE-GGA.

Calculated values
The energy above the most stable polymorph in this dataset comes out at 0.000 eV per atom. Its crystal system is orthorhombic.

a b c (Å): 5.3300 13.1960 13.2003
angles (deg): 90.00 90.00 90.00
Space group Cmcm (No. 63)
Asymmetric unit:
Tb1 0.0000 0.1457 0.0584 (multiplicity 8)
U1 0.0000 0.1973 0.7500 (multiplicity 4)
S1 0.0000 0.0476 0.6205 (multiplicity 8)
S2 0.0000 0.2491 0.2500 (multiplicity 4)
S3 0.0000 0.3123 0.5755 (multiplicity 8)


[4]
An optimized crystal structure of Mo2RuRh, computed with PBE-GGA.

Calculated values
The calculation puts the formation energy at 0.59 eV/atom. The energy above the most stable polymorph in this dataset comes out at 0.669 eV per atom. Its crystal system is tetragonal.

a b c (Å): 6.9528 6.9528 5.3922
angles (deg): 90.00 90.00 90.00
Space group I-42d (No. 122)
Asymmetric unit:
Mo1 0.2405 0.2500 0.1250 (multiplicity 8)
Ru1 0.0000 0.0000 0.0000 (multiplicity 4)
Rh1 0.0000 0.0000 0.5000 (multiplicity 4)


[5]
An optimized crystal structure of Re2TeW, computed with PBE-GGA.

Calculated values
The energy is -9.5463 eV per atom. Its crystal system is monoclinic.

a b c (Å): 3.0383 4.1454 5.3955
angles (deg): 90.00 90.36 90.00
Space group P2/m (No. 10)
Asymmetric unit:
Re1 0.9996 0.0000 0.2321 (multiplicity 2)
Te1 0.5000 0.5000 0.5000 (multiplicity 1)
W1 0.5000 0.5000 0.0000 (multiplicity 1)


[6]
An optimized crystal structure of Na3GaSn3S8, computed with PBE-GGA.

Calculated values
The energy is -4.1324 eV per atom. Its crystal system is monoclinic.

a b c (Å): 13.1239 7.5883 8.1706
angles (deg): 90.00 122.37 90.00
Space group C2/m (No. 12)
Asymmetric unit:
Na1 0.0000 0.0000 0.0000 (multiplicity 2)
Na2 0.2500 0.2500 0.0000 (multiplicity 4)
Ga1 0.0000 0.0000 0.5000 (multiplicity 2)
Sn1 0.0000 0.5000 0.5000 (multiplicity 2)
Sn2 0.2500 0.2500 0.5000 (multiplicity 4)
S1 0.0089 0.2337 0.2916 (multiplicity 8)
S2 0.2267 0.0000 0.7085 (multiplicity 4)
S3 0.2427 0.5000 0.7261 (multiplicity 4)


[7]
An optimized crystal structure of PmNpN3, computed with PBE-GGA.

Calculated values
The energy is -9.7524 eV per atom. Its crystal system is monoclinic.

a b c (Å): 10.3269 5.8626 10.1703
angles (deg): 90.00 109.34 90.00
Space group C2/c (No. 15)
Asymmetric unit:
Pm1 0.1363 0.2424 0.1344 (multiplicity 8)
Np1 0.0000 0.2523 0.7500 (multiplicity 4)
Np2 0.2500 0.2500 0.5000 (multiplicity 4)
N1 0.0658 0.2456 0.5769 (multiplicity 8)
N2 0.1584 0.4916 0.3447 (multiplicity 8)
N3 0.1605 0.0011 0.8485 (multiplicity 8)


[8]
An optimized crystal structure of NaGeI3, computed with PBE-GGA.

Calculated values
The energy above the most stable polymorph in this dataset comes out at 0.000 eV per atom. Its crystal system is monoclinic.

a b c (Å): 8.0878 4.4043 10.9577
angles (deg): 90.00 102.97 90.00
Space group P2_1/m (No. 11)
Asymmetric unit:
Na1 0.2194 0.2500 0.4737 (multiplicity 2)
Ge1 0.3529 0.2500 0.8376 (multiplicity 2)
I1 0.0039 0.2500 0.6895 (multiplicity 2)
I2 0.2741 0.7500 0.9992 (multiplicity 2)
I3 0.4565 0.7500 0.6636 (multiplicity 2)


What did the first record say?
An optimized crystal structure of Tl2BiPtPb, computed with PBE-GGA.

Calculated values
The calculation puts the formation energy at 0.05 eV/atom. Its crystal system is tetragonal.

a b c (Å): 5.3221 5.3221 5.5646
angles (deg): 90.00 90.00 90.00
Space group P4/mmm (No. 123)
Asymmetric unit:
Tl1 0.0000 0.5000 0.0000 (multiplicity 2)
Bi1 0.0000 0.0000 0.5000 (multiplicity 1)
Pt1 0.5000 0.5000 0.0000 (multiplicity 1)
Pb1 0.5000 0.5000 0.5000 (multiplicity 1)